A geometry-optimized ErPaFe2O6 structure. Source: Alexandria, functional PBE with a Hubbard U.

**SG**: C2/m (12)
**Final energy**: -81.32 eV for the cell shown

```
ErPaFe2O6
1.0
4.959 -3.008 0.000
4.959 3.008 0.000
-2.966 0.000 4.588
Er Pa Fe O
1 1 2 6
Cartesian
0.000 0.000 0.000
3.476 0.000 2.294
0.101 0.000 3.672
6.852 0.000 0.916
3.538 1.492 0.737
1.218 0.000 2.043
3.415 1.492 3.852
3.538 -1.492 0.737
5.735 0.000 2.545
3.415 -1.492 3.852
```